The following is a DFT calculation (PBE-GGA) of crystalline CeSmYMg at its relaxed geometry.

The calculation puts the total magnetic moment at 1.15 μB per formula unit. The calculation puts the formation energy at 0.14 eV per atom. As for the theoretical density: 5.6 g/cm³. The calculation puts the density of states at the Fermi level at 9.00 states/eV/f.u.

a b c (Å): 7.830 7.830 7.830
angles (deg): 90.00 90.00 90.00
Space group F-43m (No. 216)
Symmetry-distinct sites (fractional):
1 Ce 0.000 0.000 0.000
2 Sm 0.250 0.250 0.750
3 Y 0.250 0.250 0.250
4 Mg 0.000 0.000 0.500

=====

The following is a DFT calculation (PBE-GGA) of crystalline Pt4Cl3 at its relaxed geometry.

The calculation puts the total magnetic moment at 1.94 μB per formula unit. The formation energy without anion corrections is 975 meV/atom. As for the theoretical density: 9.4 g/cm³. The calculation puts the density of states at the Fermi level at 7.15 states/eV/f.u.

a b c (Å): 4.7153 4.7153 8.1458
angles (deg): 90.00 90.00 120.00
Space group P6/mmm (No. 191)
Symmetry-distinct sites (fractional):
1 Pt 0.0000 0.0000 0.1509
2 Pt 0.3333 0.6667 0.0000
3 Cl 0.0000 0.5000 0.5000